Compound: UCdIn2
Source: the Alexandria database
Functional: PBE
Structure: relaxed

Lattice parameters (Å, degrees): 5.218 5.218 5.219 60.01 60.01 60.00
Each line ends with the local moment (μB).
Atoms (fractional coordinates):
In1 0.250 0.250 0.250  0.02
In2 0.750 0.750 0.750  0.02
U1 0.500 0.500 0.500  2.63
Cd1 0.000 0.000 0.000  -0.01

Output
- Total DFT energy (no corrections): -16.70 eV per cell
- Space group: No. 225